# 1
## LiCa2ZrMn (PBE)

Data for crystalline LiCa2ZrMn at its relaxed geometry.

a = 5.689 Å, b = 4.735 Å, c = 5.689 Å
α = 90.00°, β = 90.00°, γ = 90.00°
Atoms (fractional coordinates):
Ca 0.000 0.000 0.500
Ca 0.500 0.000 0.000
Mn 0.000 0.000 0.000
Zr 0.000 0.500 0.000
Li 0.500 0.500 0.500

Results
Total DFT energy (no corrections) ... -4.2690 eV/atom
SG ... No. 123
Size of the total moment ... 0.274 μB/atom

# 2
## LiCaMo2 (PBE)

Data for crystalline LiCaMo2 at its relaxed geometry.

a = 2.680 Å, b = 2.680 Å, c = 10.057 Å
α = 90.00°, β = 90.00°, γ = 100.42°
Atoms (fractional coordinates):
Ca 0.500 0.500 0.250
Li 0.500 0.500 0.750
Mo 0.000 0.000 0.985
Mo 0.000 0.000 0.515

Results
Total DFT energy (no corrections) ... -5.7153 eV/atom
SG ... No. 65
E above lowest polymorph ... 289.6 meV/atom
Size of the total moment ... 0.000 μB/atom

# 3
## Li4CaMo (PBE)

Data for crystalline Li4CaMo at its relaxed geometry.

a = 5.549 Å, b = 5.549 Å, c = 5.549 Å
α = 60.00°, β = 60.00°, γ = 60.00°
Atoms (fractional coordinates):
Li 0.867 0.378 0.378
Li 0.378 0.378 0.867
Li 0.378 0.867 0.378
Li 0.378 0.378 0.378
Ca 0.000 0.000 0.000
Mo 0.750 0.750 0.750

Results
Total DFT energy (no corrections) ... -2.9312 eV/atom
SG ... No. 216
Size of the total moment ... 0.481 μB/atom

no.,E_form (kJ/mol of formula units)
1,221
2,262
3,280